## Nd2MoO6 (GGA+U)

Data for a relaxed structure of Nd2MoO6.

Calculated values
* DFT total energy: -0.286 Ha/atom
* total magnetic moment: 0.00 Bohr magnetons per cell
* space-group type: No. 14

The structure in POSCAR format:
```
Nd2MoO6
1.0
5.526 0.000 -0.837
0.000 6.040 0.000
0.353 0.000 8.092
Mo Nd O
2 4 12
direct
0.000 0.000 0.500
0.500 0.500 0.000
0.041 0.580 0.239
0.541 0.920 0.739
0.959 0.420 0.761
0.459 0.080 0.261
0.858 0.739 0.596
0.142 0.261 0.404
0.358 0.761 0.096
0.642 0.239 0.904
0.784 0.667 0.952
0.844 0.919 0.285
0.656 0.419 0.215
0.216 0.333 0.048
0.284 0.833 0.452
0.156 0.081 0.715
0.716 0.167 0.548
0.344 0.581 0.785
```